Ce2Pu2Si: optimized geometry, GGA-PBE.

SG: C2/m (12)
V, Å³/atom: 24.51
E_form (uncorrected), eV per atom: -0.19

a b c (Å): 4.093 5.846 11.407
angles (deg): 74.33 79.67 69.51
Positions (direct):
1 Si 0.799 0.107 0.294
2 Si 0.201 0.893 0.706
3 Pu 0.042 0.790 0.126
4 Pu 0.958 0.210 0.874
5 Pu 0.846 0.771 0.537
6 Pu 0.154 0.229 0.463
7 Ce 0.296 0.305 0.104
8 Ce 0.484 0.331 0.700
9 Ce 0.704 0.695 0.896
10 Ce 0.516 0.669 0.300



TmSO4: optimized geometry, GGA-PBE.

SG: P2_1/c (14)
V, Å³/atom: 15.83
E_form (uncorrected), eV per atom: -1.90

a b c (Å): 6.801 6.809 8.203
angles (deg): 90.00 90.00 90.12
Positions (direct):
1 O 0.929 0.264 0.353
2 O 0.429 0.764 0.147
3 O 0.072 0.729 0.147
4 O 0.267 0.570 0.354
5 O 0.233 0.930 0.854
6 O 0.267 0.574 0.852
7 O 0.571 0.236 0.853
8 O 0.233 0.926 0.352
9 O 0.928 0.271 0.853
10 O 0.767 0.070 0.146
11 O 0.733 0.426 0.148
12 O 0.071 0.736 0.647
13 O 0.733 0.430 0.646
14 O 0.767 0.074 0.648
15 O 0.428 0.771 0.647
16 O 0.572 0.229 0.353
17 Tm 0.750 0.748 0.130
18 Tm 0.250 0.248 0.370
19 Tm 0.250 0.252 0.870
20 Tm 0.750 0.752 0.630
21 S 0.250 0.753 0.750
22 S 0.750 0.247 0.250
23 S 0.250 0.747 0.250
24 S 0.750 0.253 0.750



Cs2SnTe4: optimized geometry, GGA-PBE.

SG: Pnma (62)
V, Å³/atom: 43.57
E_form (uncorrected), eV per atom: -0.64

a b c (Å): 7.803 12.131 12.889
angles (deg): 90.00 90.00 90.00
Positions (direct):
1 Cs 0.105 0.944 0.146
2 Cs 0.395 0.556 0.646
3 Cs 0.605 0.056 0.354
4 Cs 0.895 0.056 0.854
5 Cs 0.895 0.444 0.854
6 Cs 0.105 0.556 0.146
7 Cs 0.605 0.444 0.354
8 Cs 0.395 0.944 0.646
9 Te 0.247 0.250 0.225
10 Te 0.091 0.071 0.430
11 Te 0.753 0.750 0.775
12 Te 0.409 0.071 0.930
13 Te 0.409 0.429 0.930
14 Te 0.591 0.571 0.070
15 Te 0.909 0.571 0.570
16 Te 0.591 0.929 0.070
17 Te 0.253 0.250 0.725
18 Te 0.159 0.750 0.874
19 Te 0.091 0.429 0.430
20 Te 0.841 0.250 0.126
21 Te 0.747 0.750 0.275
22 Te 0.341 0.750 0.374
23 Te 0.909 0.929 0.570
24 Te 0.659 0.250 0.626
25 Sn 0.498 0.250 0.066
26 Sn 0.002 0.250 0.566
27 Sn 0.502 0.750 0.934
28 Sn 0.998 0.750 0.434



Look up the E_form (uncorrected) of the first one.
-0.19 eV per atom



Number 3 is which compound?
Cs2SnTe4



What is the V in the first record?
24.51 Å³/atom



Copy entry 3 word for word.
Cs2SnTe4: optimized geometry, GGA-PBE.

SG: Pnma (62)
V, Å³/atom: 43.57
E_form (uncorrected), eV per atom: -0.64

a b c (Å): 7.803 12.131 12.889
angles (deg): 90.00 90.00 90.00
Positions (direct):
1 Cs 0.105 0.944 0.146
2 Cs 0.395 0.556 0.646
3 Cs 0.605 0.056 0.354
4 Cs 0.895 0.056 0.854
5 Cs 0.895 0.444 0.854
6 Cs 0.105 0.556 0.146
7 Cs 0.605 0.444 0.354
8 Cs 0.395 0.944 0.646
9 Te 0.247 0.250 0.225
10 Te 0.091 0.071 0.430
11 Te 0.753 0.750 0.775
12 Te 0.409 0.071 0.930
13 Te 0.409 0.429 0.930
14 Te 0.591 0.571 0.070
15 Te 0.909 0.571 0.570
16 Te 0.591 0.929 0.070
17 Te 0.253 0.250 0.725
18 Te 0.159 0.750 0.874
19 Te 0.091 0.429 0.430
20 Te 0.841 0.250 0.126
21 Te 0.747 0.750 0.275
22 Te 0.341 0.750 0.374
23 Te 0.909 0.929 0.570
24 Te 0.659 0.250 0.626
25 Sn 0.498 0.250 0.066
26 Sn 0.002 0.250 0.566
27 Sn 0.502 0.750 0.934
28 Sn 0.998 0.750 0.434